Entry i
This record from Alexandria describes RbTaZn3 after structural relaxation. The functional is PBE.

Cell and atoms, written as CIF:
```
data_RbTaZn3
_symmetry_space_group_name_H-M 'P 1'
_symmetry_Int_Tables_number 1
_cell_length_a 5.150
_cell_length_b 5.150
_cell_length_c 5.150
_cell_angle_alpha 90.00
_cell_angle_beta 90.00
_cell_angle_gamma 90.00
loop_
_symmetry_equiv_pos_as_xyz
'x,y,z'
loop_
_atom_site_label
_atom_site_type_symbol
_atom_site_fract_x
_atom_site_fract_y
_atom_site_fract_z
_atom_site_occupancy
Zn1 Zn 0.000 0.500 0.000 1
Zn2 Zn 0.000 0.000 0.500 1
Zn3 Zn 0.500 0.000 0.000 1
Rb1 Rb 0.000 0.000 0.000 1
Ta1 Ta 0.500 0.500 0.500 1
```

Symmetry: Pm-3m (221)
Fermi-level density of states, states/eV/atom: 0.758
Density, g cm⁻³: 5.6



Entry ii
This record from Alexandria describes RbTaZn3 after structural relaxation. The functional is PBE.

Cell and atoms, written as CIF:
```
data_RbTaZn3
_symmetry_space_group_name_H-M 'P 1'
_symmetry_Int_Tables_number 1
_cell_length_a 5.291
_cell_length_b 5.291
_cell_length_c 5.291
_cell_angle_alpha 90.00
_cell_angle_beta 90.00
_cell_angle_gamma 90.00
loop_
_symmetry_equiv_pos_as_xyz
'x,y,z'
loop_
_atom_site_label
_atom_site_type_symbol
_atom_site_fract_x
_atom_site_fract_y
_atom_site_fract_z
_atom_site_occupancy
Zn1 Zn 0.000 0.500 0.000 1
Zn2 Zn 0.000 0.000 0.500 1
Zn3 Zn 0.500 0.000 0.000 1
Rb1 Rb 0.500 0.500 0.500 1
Ta1 Ta 0.000 0.000 0.000 1
```

Symmetry: Pm-3m (221)
Fermi-level density of states, states/eV/atom: 0.784
Density, g cm⁻³: 5.2



If we sort the structures by their calculated energies, the order from most to least stable is entry ii, entry i.



Entry i
This record from Alexandria describes RbZr2Ta after structural relaxation. The functional is PBE.

Cell and atoms, written as CIF:
```
data_RbZr2Ta
_symmetry_space_group_name_H-M 'P 1'
_symmetry_Int_Tables_number 1
_cell_length_a 7.762
_cell_length_b 7.762
_cell_length_c 8.394
_cell_angle_alpha 62.46
_cell_angle_beta 62.46
_cell_angle_gamma 90.00
loop_
_symmetry_equiv_pos_as_xyz
'x,y,z'
loop_
_atom_site_label
_atom_site_type_symbol
_atom_site_fract_x
_atom_site_fract_y
_atom_site_fract_z
_atom_site_occupancy
Rb1 Rb 0.500 0.500 0.000 1
Rb2 Rb 0.250 0.750 0.500 1
Zr1 Zr 0.875 0.125 0.250 1
Zr2 Zr 0.875 0.625 0.250 1
Zr3 Zr 0.375 0.125 0.750 1
Zr4 Zr 0.875 0.125 0.750 1
Ta1 Ta 0.000 0.000 0.000 1
Ta2 Ta 0.750 0.250 0.500 1
```

Symmetry: I4_1/amd (141)
Fermi-level density of states, states/eV/atom: 0.265
Density, g cm⁻³: 3.9



Entry ii
This record from Alexandria describes RbZr2Ta after structural relaxation. The functional is PBE.

Cell and atoms, written as CIF:
```
data_RbZr2Ta
_symmetry_space_group_name_H-M 'P 1'
_symmetry_Int_Tables_number 1
_cell_length_a 5.149
_cell_length_b 5.149
_cell_length_c 5.149
_cell_angle_alpha 60.00
_cell_angle_beta 60.00
_cell_angle_gamma 60.00
loop_
_symmetry_equiv_pos_as_xyz
'x,y,z'
loop_
_atom_site_label
_atom_site_type_symbol
_atom_site_fract_x
_atom_site_fract_y
_atom_site_fract_z
_atom_site_occupancy
Rb1 Rb 0.000 0.000 0.000 1
Zr1 Zr 0.250 0.250 0.250 1
Zr2 Zr 0.750 0.750 0.750 1
Ta1 Ta 0.500 0.500 0.500 1
```

Symmetry: Fm-3m (225)
Fermi-level density of states, states/eV/atom: 1.488
Density, g cm⁻³: 7.7



If we sort the structures by their calculated energies, the order from most to least stable is entry ii, entry i.



Entry i
This record from Alexandria describes Rb3Tb after structural relaxation. The functional is PBE.

Cell and atoms, written as CIF:
```
data_Rb3Tb
_symmetry_space_group_name_H-M 'P 1'
_symmetry_Int_Tables_number 1
_cell_length_a 7.921
_cell_length_b 7.921
_cell_length_c 7.921
_cell_angle_alpha 133.14
_cell_angle_beta 133.14
_cell_angle_gamma 68.43
loop_
_symmetry_equiv_pos_as_xyz
'x,y,z'
loop_
_atom_site_label
_atom_site_type_symbol
_atom_site_fract_x
_atom_site_fract_y
_atom_site_fract_z
_atom_site_occupancy
Tb1 Tb 0.000 0.000 0.000 1
Rb1 Rb 0.750 0.250 0.500 1
Rb2 Rb 0.250 0.750 0.500 1
Rb3 Rb 0.500 0.500 0.000 1
```

Symmetry: I4/mmm (139)
Fermi-level density of states, states/eV/atom: 1.598
Density, g cm⁻³: 2.7



Entry ii
This record from Alexandria describes Rb3Tb after structural relaxation. The functional is PBE.

Cell and atoms, written as CIF:
```
data_Rb3Tb
_symmetry_space_group_name_H-M 'P 1'
_symmetry_Int_Tables_number 1
_cell_length_a 7.191
_cell_length_b 7.191
_cell_length_c 7.191
_cell_angle_alpha 60.00
_cell_angle_beta 60.00
_cell_angle_gamma 60.00
loop_
_symmetry_equiv_pos_as_xyz
'x,y,z'
loop_
_atom_site_label
_atom_site_type_symbol
_atom_site_fract_x
_atom_site_fract_y
_atom_site_fract_z
_atom_site_occupancy
Tb1 Tb 0.000 0.000 0.000 1
Rb1 Rb 0.250 0.250 0.250 1
Rb2 Rb 0.750 0.750 0.750 1
Rb3 Rb 0.500 0.500 0.500 1
```

Symmetry: Fm-3m (225)
Fermi-level density of states, states/eV/atom: 1.834
Density, g cm⁻³: 2.6



If we sort the structures by their calculated energies, the order from most to least stable is entry i, entry ii.



Entry i
This record from Alexandria describes RbTc after structural relaxation. The functional is PBE.

Cell and atoms, written as CIF:
```
data_RbTc
_symmetry_space_group_name_H-M 'P 1'
_symmetry_Int_Tables_number 1
_cell_length_a 12.698
_cell_length_b 12.698
_cell_length_c 3.633
_cell_angle_alpha 90.00
_cell_angle_beta 90.00
_cell_angle_gamma 120.00
loop_
_symmetry_equiv_pos_as_xyz
'x,y,z'
loop_
_atom_site_label
_atom_site_type_symbol
_atom_site_fract_x
_atom_site_fract_y
_atom_site_fract_z
_atom_site_occupancy
Rb1 Rb 0.814 0.629 0.250 1
Rb2 Rb 0.186 0.814 0.750 1
Rb3 Rb 0.371 0.186 0.250 1
Rb4 Rb 0.186 0.371 0.750 1
Rb5 Rb 0.814 0.186 0.250 1
Rb6 Rb 0.629 0.814 0.750 1
Tc1 Tc 0.469 0.937 0.250 1
Tc2 Tc 0.531 0.469 0.750 1
Tc3 Tc 0.063 0.531 0.250 1
Tc4 Tc 0.531 0.063 0.750 1
Tc5 Tc 0.469 0.531 0.250 1
Tc6 Tc 0.937 0.469 0.750 1
```

Symmetry: P6_3/mmc (194)
Fermi-level density of states, states/eV/atom: 0.979
Density, g cm⁻³: 3.6



Entry ii
This record from Alexandria describes RbTc after structural relaxation. The functional is PBE.

Cell and atoms, written as CIF:
```
data_RbTc
_symmetry_space_group_name_H-M 'P 1'
_symmetry_Int_Tables_number 1
_cell_length_a 12.736
_cell_length_b 12.736
_cell_length_c 4.865
_cell_angle_alpha 90.00
_cell_angle_beta 90.00
_cell_angle_gamma 90.00
loop_
_symmetry_equiv_pos_as_xyz
'x,y,z'
loop_
_atom_site_label
_atom_site_type_symbol
_atom_site_fract_x
_atom_site_fract_y
_atom_site_fract_z
_atom_site_occupancy
Rb1 Rb 0.850 0.592 0.500 1
Rb2 Rb 0.150 0.408 0.500 1
Rb3 Rb 0.408 0.850 0.500 1
Rb4 Rb 0.592 0.150 0.500 1
Rb5 Rb 0.825 0.296 0.000 1
Rb6 Rb 0.175 0.704 0.000 1
Rb7 Rb 0.704 0.825 0.000 1
Rb8 Rb 0.296 0.175 0.000 1
Tc1 Tc 0.619 0.440 0.500 1
Tc2 Tc 0.381 0.560 0.500 1
Tc3 Tc 0.560 0.619 0.500 1
Tc4 Tc 0.440 0.381 0.500 1
Tc5 Tc 0.633 0.499 0.000 1
Tc6 Tc 0.367 0.501 0.000 1
Tc7 Tc 0.501 0.633 0.000 1
Tc8 Tc 0.499 0.367 0.000 1
```

Symmetry: P4/m (83)
Fermi-level density of states, states/eV/atom: 0.704
Density, g cm⁻³: 3.1



If we sort the structures by their calculated energies, the order from most to least stable is entry ii, entry i.